A plane-wave DFT calculation with PBE was carried out for BeV2I after structural relaxation.

Cell: 3.727 3.727 18.277 Å, 90.00 90.00 90.00°
Space group I-42d (No. 122)
Symmetry-distinct sites (fractional):
Be (0.000, 0.000, 0.000)
V (0.221, 0.250, 0.125)
I (0.000, 0.000, 0.500)

Output
The total energy comes out at -20.3 eV/f.u. The value obtained for the excess energy over the best structure of this formula in the dataset is 0 meV/atom. The calculation puts the magnetic moment at 0.00 Bohr magnetons per cell. For the calculated volume, the calculation gives 15.86 A^3/atom. The calculation puts the density of states at the Fermi level at 12.02 states/eV/cell.

A plane-wave DFT calculation with PBE was carried out for BeVI3 after structural relaxation.

Cell: 5.537 5.537 5.537 Å, 90.00 90.00 90.00°
Space group Pm-3m (No. 221)
Symmetry-distinct sites (fractional):
Be (0.000, 0.000, 0.000)
V (0.500, 0.500, 0.500)
I (0.000, 0.500, 0.500)

Output
The total energy comes out at -15.1 eV/f.u. The value obtained for the excess energy over the best structure of this formula in the dataset is 0 meV/atom. The calculation puts the magnetic moment at 1.99 Bohr magnetons per cell. For the calculated volume, the calculation gives 33.96 A^3/atom. The calculation puts the density of states at the Fermi level at 4.94 states/eV/cell.

A plane-wave DFT calculation with PBE was carried out for BeVI3 after structural relaxation.

Cell: 5.268 5.268 5.268 Å, 90.00 90.00 90.00°
Space group Pm-3m (No. 221)
Symmetry-distinct sites (fractional):
Be (0.000, 0.000, 0.000)
V (0.500, 0.500, 0.500)
I (0.000, 0.000, 0.500)

Output
The total energy comes out at -15.0 eV/f.u. The value obtained for the excess energy over the best structure of this formula in the dataset is 15 meV/atom. The calculation puts the magnetic moment at 3.75 Bohr magnetons per cell. For the calculated volume, the calculation gives 29.24 A^3/atom. The calculation puts the density of states at the Fermi level at 7.46 states/eV/cell.

A plane-wave DFT calculation with PBE was carried out for Be2VI8 after structural relaxation.

Cell: 12.976 10.393 6.477 Å, 90.00 93.26 90.00°
Space group C2/m (No. 12)
Symmetry-distinct sites (fractional):
Be (0.183, 0.000, 0.128)
V (0.000, 0.000, 0.500)
I (0.085, 0.181, 0.259)
I (0.144, 0.500, 0.761)
I (0.182, 0.000, 0.751)

Output
The total energy comes out at -33.5 eV/f.u. The calculation puts the magnetic moment at 1.82 Bohr magnetons per cell. For the calculated volume, the calculation gives 39.64 A^3/atom. The calculation puts the density of states at the Fermi level at 14.00 states/eV/cell.

> Among the records above, which one has the lowest magnetic moment?

BeV2I

> Among the records above, which one has the lowest calculated volume?

BeV2I

> Look up the magnetic moment of the second one.

1.99 Bohr magnetons per cell

What did the third record say?
A plane-wave DFT calculation with PBE was carried out for BeVI3 after structural relaxation.

Cell: 5.268 5.268 5.268 Å, 90.00 90.00 90.00°
Space group Pm-3m (No. 221)
Symmetry-distinct sites (fractional):
Be (0.000, 0.000, 0.000)
V (0.500, 0.500, 0.500)
I (0.000, 0.000, 0.500)

Output
The total energy comes out at -15.0 eV/f.u. The value obtained for the excess energy over the best structure of this formula in the dataset is 15 meV/atom. The calculation puts the magnetic moment at 3.75 Bohr magnetons per cell. For the calculated volume, the calculation gives 29.24 A^3/atom. The calculation puts the density of states at the Fermi level at 7.46 states/eV/cell.